## InReTe2 (PBE)

Data for an optimized crystal structure of InReTe2.

The calculation puts the energy relative to the elements, uncorrected at 298 meV/atom. As for the electronic total energy: -5.07 eV per atom.

```
InReTe2
1.0
1.7060 0.9850 10.0222
-1.7060 0.9850 10.0222
0.0000 -1.9700 10.0222
In Re Te
1 1 2
Cartesian
0.0000 0.0000 0.0000
0.0000 0.0000 22.1562
0.0000 0.0000 7.5676
0.0000 0.0000 13.8863
```